1.
The following is a DFT calculation (PBE-GGA) of a relaxed Y12Ho7Zr crystal.

Properties
symmetry	R-3 (148)
formation enthalpy at 0 K	474	kJ/mol of formula units
total moment	0.0	μB/f.u.
total DFT energy (no corrections)	-113.244	eV per cell

The structure in POSCAR format:
```
Y12Ho7Zr
1.0
11.068 -1.336 -2.006
-4.361 10.260 -2.006
-4.361 -5.802 8.696
Y Ho Zr
12 7 1
direct
0.086 0.500 0.914 Y
0.500 0.086 0.914 Y
0.427 0.074 0.426 Y
0.926 0.574 0.573 Y
0.086 0.914 0.500 Y
0.574 0.573 0.926 Y
0.426 0.427 0.074 Y
0.914 0.086 0.500 Y
0.074 0.426 0.427 Y
0.573 0.926 0.574 Y
0.500 0.914 0.086 Y
0.914 0.500 0.086 Y
0.887 0.645 0.887 Ho
0.355 0.113 0.113 Ho
0.113 0.113 0.355 Ho
0.500 0.500 0.500 Ho
0.887 0.887 0.645 Ho
0.645 0.887 0.887 Ho
0.113 0.355 0.113 Ho
0.000 0.000 0.000 Zr
```

=====

2.
The following is a DFT calculation (PBE-GGA) of a relaxed YHo6Zr crystal.

Properties
symmetry	P-1 (2)
formation enthalpy at 0 K	179	kJ/mol of formula units
total moment	0.0	μB/f.u.
total DFT energy (no corrections)	-40.623	eV per cell

The structure in POSCAR format:
```
YHo6Zr
1.0
6.791 -0.670 2.585
-0.337 6.321 -0.149
1.469 -0.246 6.336
Y Ho Zr
1 6 1
direct
0.000 0.500 0.000 Y
0.087 0.774 0.450 Ho
0.538 0.773 0.552 Ho
0.462 0.227 0.448 Ho
0.913 0.226 0.550 Ho
0.604 0.759 0.003 Ho
0.396 0.241 0.997 Ho
0.000 0.000 0.000 Zr
```

=====

3.
The following is a DFT calculation (PBE-GGA) of a relaxed Y6Ho2Zr crystal.

Properties
symmetry	C2/c (15)
formation enthalpy at 0 K	136	kJ/mol of formula units
total moment	0.0	μB/f.u.
total DFT energy (no corrections)	-110.162	eV per cell

The structure in POSCAR format:
```
Y6Ho2Zr
1.0
-4.458 4.272 -1.621
-4.296 -5.117 -7.056
-7.674 -4.466 3.948
Y Ho Zr
12 4 2
direct
0.489 0.667 0.384 Y
0.011 0.616 0.333 Y
0.511 0.333 0.616 Y
0.989 0.384 0.667 Y
0.741 0.941 0.423 Y
0.759 0.577 0.059 Y
0.259 0.059 0.577 Y
0.241 0.423 0.941 Y
0.253 0.782 0.993 Y
0.247 0.007 0.218 Y
0.747 0.218 0.007 Y
0.753 0.993 0.782 Y
0.091 0.728 0.666 Ho
0.409 0.334 0.272 Ho
0.909 0.272 0.334 Ho
0.591 0.666 0.728 Ho
0.250 0.126 0.874 Zr
0.750 0.874 0.126 Zr
```

=====

4.
The following is a DFT calculation (PBE-GGA) of a relaxed Y5Ho12Zr2 crystal.

Properties
symmetry	C2/m (12)
formation enthalpy at 0 K	309	kJ/mol of formula units
total moment	0.0	μB/f.u.
total DFT energy (no corrections)	-101.145	eV per cell

The structure in POSCAR format:
```
Y5Ho12Zr2
1.0
-6.860 -1.096 -2.556
6.185 -7.051 -2.859
-0.925 -7.488 5.693
Y Ho Zr
5 12 2
direct
0.199 0.399 0.793 Y
0.313 0.626 0.207 Y
0.000 0.000 0.500 Y
0.687 0.374 0.793 Y
0.801 0.601 0.207 Y
0.984 0.968 0.189 Ho
0.090 0.689 0.870 Ho
0.599 0.689 0.870 Ho
0.089 0.684 0.501 Ho
0.595 0.684 0.501 Ho
0.498 0.995 0.686 Ho
0.502 0.005 0.314 Ho
0.911 0.316 0.499 Ho
0.405 0.316 0.499 Ho
0.910 0.311 0.130 Ho
0.401 0.311 0.130 Ho
0.016 0.032 0.811 Ho
0.677 0.000 0.000 Zr
0.323 0.000 0.000 Zr
```

=====

5.
The following is a DFT calculation (PBE-GGA) of a relaxed Y3Ho8Zr crystal.

Properties
symmetry	I-42m (121)
formation enthalpy at 0 K	718	kJ/mol of formula units
total moment	0.4	μB/f.u.
total DFT energy (no corrections)	-57.119	eV per cell

The structure in POSCAR format:
```
Y3Ho8Zr
1.0
8.316 -0.311 -0.495
-3.577 7.514 0.495
-3.577 -2.807 6.988
Y Ho Zr
3 8 1
direct
0.500 0.750 0.250 Y
0.500 0.250 0.750 Y
0.000 0.500 0.500 Y
0.463 0.198 0.198 Ho
0.537 0.735 0.735 Ho
0.000 0.802 0.265 Ho
0.000 0.265 0.802 Ho
0.256 0.360 0.360 Ho
0.744 0.105 0.105 Ho
0.000 0.640 0.895 Ho
0.000 0.895 0.640 Ho
0.000 0.000 0.000 Zr
```

=====

6.
The following is a DFT calculation (PBE-GGA) of a relaxed Y8Ho2Zr crystal.

Properties
symmetry	C2/m (12)
formation enthalpy at 0 K	54	kJ/mol of formula units
total moment	0.0	μB/f.u.
total DFT energy (no corrections)	-68.854	eV per cell

The structure in POSCAR format:
```
Y8Ho2Zr
1.0
4.807 0.000 -1.280
-0.519 7.636 -1.948
-0.091 -0.077 9.325
Y Ho Zr
8 2 1
direct
0.590 0.444 0.179 Y
0.321 0.089 0.642 Y
0.132 0.176 0.264 Y
0.045 0.737 0.089 Y
0.868 0.824 0.736 Y
0.679 0.911 0.358 Y
0.410 0.556 0.821 Y
0.955 0.263 0.911 Y
0.226 0.634 0.453 Ho
0.774 0.366 0.547 Ho
0.500 0.000 0.000 Zr
```

=====

7.
The following is a DFT calculation (PBE-GGA) of a relaxed Y6HoZr crystal.

Properties
symmetry	P-1 (2)
formation enthalpy at 0 K	49	kJ/mol of formula units
total moment	0.0	μB/f.u.
total DFT energy (no corrections)	-51.402	eV per cell

The structure in POSCAR format:
```
Y6HoZr
1.0
0.303 2.240 5.636
1.772 -5.347 4.224
6.118 2.850 3.982
Y Ho Zr
6 1 1
direct
0.759 0.868 0.754 Y
0.501 0.742 0.499 Y
0.499 0.258 0.501 Y
0.241 0.132 0.246 Y
0.254 0.623 0.241 Y
0.746 0.377 0.759 Y
0.000 0.000 0.000 Ho
0.000 0.500 0.000 Zr
```

=====

8.
The following is a DFT calculation (PBE-GGA) of a relaxed Y8Ho6Zr crystal.

Properties
symmetry	P-3 (147)
formation enthalpy at 0 K	227	kJ/mol of formula units
total moment	0.4	μB/f.u.
total DFT energy (no corrections)	-85.375	eV per cell

The structure in POSCAR format:
```
Y8Ho6Zr
1.0
5.762 0.000 0.000
0.000 8.476 -4.894
0.000 0.000 9.788
Y Ho Zr
8 6 1
direct
0.767 0.050 0.269 Y
0.767 0.731 0.781 Y
0.767 0.219 0.950 Y
0.233 0.950 0.731 Y
0.233 0.269 0.219 Y
0.233 0.781 0.050 Y
0.765 0.333 0.667 Y
0.235 0.667 0.333 Y
0.744 0.620 0.093 Ho
0.744 0.907 0.527 Ho
0.744 0.473 0.380 Ho
0.256 0.380 0.907 Ho
0.256 0.093 0.473 Ho
0.256 0.527 0.620 Ho
0.500 0.000 0.000 Zr
```

=====

9.
The following is a DFT calculation (PBE-GGA) of a relaxed Y7Ho12Zr crystal.

Properties
symmetry	R-3 (148)
formation enthalpy at 0 K	524	kJ/mol of formula units
total moment	1.3	μB/f.u.
total DFT energy (no corrections)	-103.301	eV per cell
energy relative to the lowest polymorph listed for this composition	0.00	eV/f.u.

The structure in POSCAR format:
```
Y7Ho12Zr
1.0
-5.575 6.583 0.712
-6.294 -5.144 -2.975
-1.695 -2.451 8.127
Y Ho Zr
7 12 1
direct
0.973 0.668 0.069 Y
0.332 0.931 0.027 Y
0.931 0.027 0.332 Y
0.500 0.500 0.500 Y
0.069 0.973 0.668 Y
0.668 0.069 0.973 Y
0.027 0.332 0.931 Y
0.774 0.236 0.632 Ho
0.764 0.368 0.226 Ho
0.451 0.124 0.359 Ho
0.876 0.641 0.549 Ho
0.368 0.226 0.764 Ho
0.641 0.549 0.876 Ho
0.359 0.451 0.124 Ho
0.632 0.774 0.236 Ho
0.124 0.359 0.451 Ho
0.549 0.876 0.641 Ho
0.236 0.632 0.774 Ho
0.226 0.764 0.368 Ho
0.000 0.000 0.000 Zr
```

=====

10.
The following is a DFT calculation (PBE-GGA) of a relaxed Y3HoZr crystal.

Properties
symmetry	C2/m (12)
formation enthalpy at 0 K	35	kJ/mol of formula units
total moment	0.0	μB/f.u.
total DFT energy (no corrections)	-64.309	eV per cell

The structure in POSCAR format:
```
Y3HoZr
1.0
3.469 -0.002 0.001
-1.728 9.002 -1.077
-0.012 -1.585 9.736
Y Ho Zr
6 2 2
direct
0.023 0.080 0.457 Y
0.416 0.864 0.668 Y
0.628 0.290 0.754 Y
0.020 0.074 0.964 Y
0.225 0.484 0.052 Y
0.819 0.670 0.369 Y
0.417 0.868 0.149 Ho
0.627 0.286 0.272 Ho
0.227 0.487 0.573 Zr
0.817 0.667 0.848 Zr
```

=====

11.
The following is a DFT calculation (PBE-GGA) of a relaxed YHo5Zr crystal.

Properties
symmetry	P2_1/m (11)
formation enthalpy at 0 K	129	kJ/mol of formula units
total moment	0.0	μB/f.u.
total DFT energy (no corrections)	-73.121	eV per cell

The structure in POSCAR format:
```
YHo5Zr
1.0
-1.798 -4.424 5.645
5.347 2.033 -1.547
-1.705 10.041 7.327
Y Ho Zr
2 10 2
direct
0.693 0.001 0.250 Y
0.307 0.999 0.750 Y
0.174 0.598 0.111 Ho
0.826 0.401 0.611 Ho
0.424 0.597 0.611 Ho
0.103 0.000 0.250 Ho
0.425 0.598 0.889 Ho
0.575 0.402 0.111 Ho
0.897 0.000 0.750 Ho
0.576 0.403 0.389 Ho
0.174 0.599 0.389 Ho
0.826 0.402 0.889 Ho
0.000 0.000 0.000 Zr
0.000 0.000 0.500 Zr
```

=====

12.
The following is a DFT calculation (PBE-GGA) of a relaxed YbHo3 crystal.

Properties
symmetry	I4/mmm (139)
formation enthalpy at 0 K	8	kJ/mol of formula units
total moment	0.0	μB/f.u.
total DFT energy (no corrections)	-15.172	eV per cell

The structure in POSCAR format:
```
YbHo3
1.0
-5.028 -1.281 -3.293
-4.673 -1.294 3.776
3.945 4.709 -0.190
Yb Ho
1 3
direct
0.000 0.000 0.000 Yb
0.750 0.250 0.500 Ho
0.250 0.750 0.500 Ho
0.500 0.500 0.000 Ho
```

=====

13.
The following is a DFT calculation (PBE-GGA) of a relaxed HoZn2 crystal.

Properties
symmetry	I4/mmm (139)
formation enthalpy at 0 K	-59	kJ/mol of formula units
total moment	0.0	μB/f.u.
total DFT energy (no corrections)	-7.734	eV per cell

The structure in POSCAR format:
```
HoZn2
1.0
-0.650 -2.510 -1.980
-0.099 -2.005 2.572
-5.061 3.226 0.255
Zn Ho
2 1
direct
0.183 0.183 0.368 Zn
0.817 0.817 0.632 Zn
0.500 0.500 0.000 Ho
```

=====

14.
The following is a DFT calculation (PBE-GGA) of a relaxed HoZn2 crystal.

Properties
symmetry	Fd-3m (227)
formation enthalpy at 0 K	-97	kJ/mol of formula units
total moment	0.0	μB/f.u.
total DFT energy (no corrections)	-16.259	eV per cell

The structure in POSCAR format:
```
HoZn2
1.0
5.441 0.000 0.000
2.721 4.712 0.000
2.721 1.571 4.443
Zn Ho
4 2
direct
0.125 0.625 0.625 Zn
0.625 0.125 0.625 Zn
0.625 0.625 0.625 Zn
0.625 0.625 0.125 Zn
0.000 0.000 0.000 Ho
0.250 0.250 0.250 Ho
```

=====

15.
The following is a DFT calculation (PBE-GGA) of a relaxed Ho3Zn11 crystal.

Properties
symmetry	Immm (71)
formation enthalpy at 0 K	-434	kJ/mol of formula units
total moment	0.0	μB/f.u.
total DFT energy (no corrections)	-32.248	eV per cell

The structure in POSCAR format:
```
Ho3Zn11
1.0
-1.412 4.133 -0.528
-4.992 -0.177 -6.369
-7.850 -0.088 1.973
Ho Zn
3 11
direct
0.000 0.000 0.000 Ho
0.292 0.708 0.708 Ho
0.708 0.292 0.292 Ho
0.656 0.704 0.984 Zn
0.860 0.422 0.858 Zn
0.656 0.984 0.704 Zn
0.500 0.320 0.680 Zn
0.140 0.142 0.578 Zn
0.000 0.500 0.500 Zn
0.860 0.858 0.422 Zn
0.500 0.680 0.320 Zn
0.344 0.016 0.296 Zn
0.140 0.578 0.142 Zn
0.344 0.296 0.016 Zn
```

=====

16.
The following is a DFT calculation (PBE-GGA) of a relaxed Ho4Zn3 crystal.

Properties
symmetry	R-3m (166)
formation enthalpy at 0 K	-133	kJ/mol of formula units
total moment	0.0	μB/f.u.
total DFT energy (no corrections)	-23.515	eV per cell
energy relative to the lowest polymorph listed for this composition	0.00	eV/f.u.

The structure in POSCAR format:
```
Ho4Zn3
1.0
-2.639 3.841 1.771
-4.402 1.152 -2.039
-6.022 -3.240 5.072
Ho Zn
4 3
direct
0.621 0.621 0.137 Ho
0.873 0.873 0.382 Ho
0.127 0.127 0.618 Ho
0.379 0.379 0.863 Ho
0.252 0.252 0.243 Zn
0.748 0.748 0.757 Zn
0.000 0.000 0.000 Zn
```

=====

17.
The following is a DFT calculation (PBE-GGA) of a relaxed HoZn13 crystal.

Properties
symmetry	Fm-3c (226)
formation enthalpy at 0 K	-156	kJ/mol of formula units
total moment	0.0	μB/f.u.
total DFT energy (no corrections)	-45.517	eV per cell

The structure in POSCAR format:
```
HoZn13
1.0
-0.129 8.563 0.410
-1.829 3.910 7.408
6.147 4.180 4.273
Ho Zn
2 26
direct
0.750 0.750 0.750 Ho
0.250 0.250 0.250 Ho
0.441 0.559 0.199 Zn
0.199 0.801 0.441 Zn
0.801 0.199 0.559 Zn
0.559 0.441 0.801 Zn
0.559 0.801 0.199 Zn
0.801 0.559 0.441 Zn
0.199 0.441 0.559 Zn
0.441 0.199 0.801 Zn
0.801 0.441 0.199 Zn
0.559 0.199 0.441 Zn
0.441 0.801 0.559 Zn
0.199 0.559 0.801 Zn
0.301 0.941 0.059 Zn
0.059 0.699 0.301 Zn
0.941 0.301 0.699 Zn
0.699 0.059 0.941 Zn
0.301 0.699 0.941 Zn
0.059 0.941 0.699 Zn
0.941 0.059 0.301 Zn
0.699 0.301 0.059 Zn
0.301 0.059 0.699 Zn
0.059 0.301 0.941 Zn
0.941 0.699 0.059 Zn
0.699 0.941 0.301 Zn
0.500 0.500 0.500 Zn
0.000 0.000 0.000 Zn
```

=====

18.
The following is a DFT calculation (PBE-GGA) of a relaxed HoZn crystal.

Properties
symmetry	Pm-3m (221)
formation enthalpy at 0 K	-66	kJ/mol of formula units
total moment	0.0	μB/f.u.
total DFT energy (no corrections)	-6.535	eV per cell

The structure in POSCAR format:
```
HoZn
1.0
-0.815 -1.986 2.833
-2.719 -1.433 -1.786
2.140 -2.576 -1.190
Zn Ho
1 1
direct
0.500 0.500 0.500 Zn
0.000 0.000 0.000 Ho
```

=====

19.
The following is a DFT calculation (PBE-GGA) of a relaxed HoZn6 crystal.

Properties
symmetry	P4/nbm (125)
formation enthalpy at 0 K	-82	kJ/mol of formula units
total moment	0.0	μB/f.u.
total DFT energy (no corrections)	-26.145	eV per cell
energy relative to the lowest polymorph listed for this composition	0.65	eV/f.u.

The structure in POSCAR format:
```
HoZn6
1.0
5.509 0.000 0.000
0.000 5.509 0.000
0.000 0.000 8.113
Ho Zn
2 12
direct
0.500 0.000 0.000 Ho
0.000 0.500 0.000 Ho
0.500 0.500 0.159 Zn
0.000 0.000 0.159 Zn
0.000 0.000 0.841 Zn
0.500 0.500 0.841 Zn
0.826 0.674 0.361 Zn
0.326 0.826 0.361 Zn
0.674 0.174 0.361 Zn
0.174 0.326 0.361 Zn
0.674 0.826 0.639 Zn
0.174 0.674 0.639 Zn
0.826 0.326 0.639 Zn
0.326 0.174 0.639 Zn
```

=====

20.
The following is a DFT calculation (PBE-GGA) of a relaxed Ho5Zn6 crystal.

Properties
symmetry	Immm (71)
formation enthalpy at 0 K	-208	kJ/mol of formula units
total moment	0.0	μB/f.u.
total DFT energy (no corrections)	-32.689	eV per cell

The structure in POSCAR format:
```
Ho5Zn6
1.0
-2.441 4.296 -0.067
-6.150 -3.494 0.139
4.372 -0.241 7.369
Ho Zn
5 6
direct
0.000 0.500 0.000 Ho
0.671 0.671 0.342 Ho
0.329 0.329 0.658 Ho
0.344 0.844 0.687 Ho
0.656 0.156 0.313 Ho
0.500 0.737 0.000 Zn
0.500 0.263 0.000 Zn
0.838 0.081 0.676 Zn
0.838 0.596 0.676 Zn
0.162 0.919 0.324 Zn
0.162 0.404 0.324 Zn
```